A plane-wave DFT calculation with PBE-GGA was carried out for a relaxed structure of Sm2Y4Ho2Sc.

For the energy of formation, the calculation gives 0.01 eV/atom. The volume is 31.465 Å³ per atom. For the density, the calculation gives 6.046 g/cm³.

The structure belongs to space group C2/m (No. 12); the cell edges are 18.516, 3.577 and 9.483 Å and the angles 90.00°, 115.61° and 90.00°. The distinct sites, in fractional coordinates, are Sm at (0.164, 0.000, 0.497), Y at (0.019, 0.000, 0.831), Y at (0.185, 0.500, 0.832), Ho at (0.148, 0.500, 0.165) and Sc at (0.000, 0.500, 0.500).